(1)
Density functional theory data (PBE) for a geometry-optimized Pr8Sm2Th3 structure.

Unit cell a=10.585 b=11.160 c=10.062 alpha=123.68 beta=137.36 gamma=90.00
Sites, in units of the cell vectors:
Pr 0.019 0.617 0.234
Pr 0.981 0.383 0.766
Pr 0.165 0.256 0.512
Pr 0.835 0.744 0.488
Pr 0.642 0.723 0.960
Pr 0.642 0.237 0.960
Pr 0.358 0.763 0.040
Pr 0.358 0.277 0.040
Sm 0.419 0.190 0.379
Sm 0.581 0.810 0.621
Th 0.500 0.000 0.000
Th 0.000 0.238 0.000
Th 0.000 0.762 0.000

Computed properties:
For the density of states at the Fermi level, the calculation gives 20.47 states/eV/cell. The value obtained for the formation energy is 232.2 meV per atom.

(2)
Density functional theory data (PBE) for a geometry-optimized CaPm4Pd4 structure.

Unit cell a=5.867 b=9.249 c=9.249 alpha=90.00 beta=90.00 gamma=90.00
Sites, in units of the cell vectors:
Ca 0.000 0.000 0.000
Ca 0.500 0.500 0.500
Pm 0.416 0.321 0.906
Pm 0.916 0.594 0.821
Pm 0.416 0.679 0.094
Pm 0.084 0.179 0.594
Pm 0.584 0.906 0.679
Pm 0.084 0.821 0.406
Pm 0.916 0.406 0.179
Pm 0.584 0.094 0.321
Pd 0.587 0.788 0.377
Pd 0.587 0.212 0.623
Pd 0.087 0.877 0.712
Pd 0.913 0.288 0.877
Pd 0.913 0.712 0.123
Pd 0.413 0.377 0.212
Pd 0.413 0.623 0.788
Pd 0.087 0.123 0.288

Computed properties:
For the density of states at the Fermi level, the calculation gives 12.53 states/eV/cell. The value obtained for the formation energy is -613.2 meV per atom.

(3)
Density functional theory data (PBE) for a geometry-optimized TbNdHoTl structure.

Unit cell a=4.944 b=4.849 c=4.908 alpha=90.00 beta=90.00 gamma=90.00
Site moments in Bohr magnetons follow the coordinates.
Sites, in units of the cell vectors:
Tb 0.500 0.500 0.000  0.10
Nd 0.500 0.000 0.500  0.07
Ho 0.000 0.500 0.500  0.11
Tl 0.000 0.000 0.000  0.00

Computed properties:
The energy relative to the lowest polymorph listed for this composition comes out at 0.000 eV per atom. For the density of states at the Fermi level, the calculation gives 5.97 states/eV/cell. The value obtained for the formation energy is -184.5 meV per atom.